VASP calculation (PBE) on a geometry-optimized NbGeSe2 structure.

extended XYZ file:
```
4
Lattice="2.054 0.000 8.278 -1.027 1.779 8.278 -1.027 -1.779 8.278" Properties=species:S:1:pos:R:3 pbc="T T T"
Nb 0.000 0.000 0.000
Ge 0.000 0.000 12.416
Se 0.000 0.000 22.342
Se 0.000 0.000 2.491
```

Values from the calculation:
The calculated total energy is -5.1378 eV per atom. The total magnetization is 0.000 μB per formula unit.


VASP calculation (PBE) on a geometry-optimized NbGe2Se structure.

extended XYZ file:
```
8
Lattice="6.127 0.000 0.000 0.000 6.127 0.000 3.064 3.064 5.671" Properties=species:S:1:pos:R:3 pbc="T T T"
Nb 0.000 0.000 0.000
Nb 6.127 3.064 2.835
Ge 4.642 1.532 1.418
Ge 1.486 4.596 1.418
Ge 4.596 4.550 4.253
Ge 7.659 7.705 4.253
Se 3.064 3.064 0.000
Se 3.064 6.127 2.835
```

Values from the calculation:
The total magnetization is 0.749 μB per formula unit. The calculation puts the energy above the most stable polymorph in this dataset at 78 meV per atom.


VASP calculation (PBE) on a geometry-optimized NbGeSe2 structure.

extended XYZ file:
```
4
Lattice="-5.983 -0.380 7.132 -6.963 -3.085 5.367 -4.377 -3.323 7.523" Properties=species:S:1:pos:R:3 pbc="T T T"
Nb -8.661 -3.394 10.011
Ge 0.000 0.000 0.000
Se -15.540 -6.090 17.961
Se -1.783 -0.699 2.061
```

Values from the calculation:
The calculated total energy is -5.8204 eV per atom. The total magnetization is 0.000 μB per formula unit.


D(E_F) / states/eV/f.u.: 4.06 3.97 2.19